## BeZnC3 (PBE-GGA)

Data for a relaxed structure of BeZnC3.

Properties
The value obtained for the calculated density is 3.0 Mg/m³. The calculation puts the relative energy among the computed polymorphs at 0.796 eV per atom.

Cell lengths 3.9203, 3.9203, 3.9203 Å; angles 90.00, 90.00, 90.00 degrees
Closest atoms and distances in Å follow each position.
Space group Pm-3m (No. 221)
Inequivalent atoms, fractional coordinates:
Be 0.0000 0.0000 0.0000 x1  12 C 2.77
Zn 0.5000 0.5000 0.5000 x1  6 C 1.96
C 0.0000 0.5000 0.5000 x3  2 Zn 1.96